(1)
First-principles (GGA-PBE) data for an optimized crystal structure of RbSnHgSe3, as listed in the Alexandria database.

Cell: 4.4189 8.8744 10.3657 Å, 107.11 90.00 90.00°
Atoms (fractional coordinates):
Rb1 0.2500 0.2204 0.2612
Rb2 0.7500 0.7796 0.7388
Se1 0.7500 0.8762 0.1140
Se2 0.7500 0.4710 0.1548
Se3 0.7500 0.2271 0.5448
Se4 0.2500 0.5290 0.8452
Se5 0.2500 0.1238 0.8860
Hg1 0.2500 0.0941 0.6205
Sn1 0.7500 0.3336 0.8839
Sn2 0.2500 0.6664 0.1161
Se6 0.2500 0.7729 0.4552
Hg2 0.7500 0.9059 0.3795

Results
* SG: P2_1/m, No. 11
* total DFT energy (no corrections): -18.8 eV/f.u.
* formation energy without anion corrections: -11.80 kcal/mol of atoms
* total magnetic moment: 0.00 μB per formula unit


(2)
First-principles (GGA-PBE) data for an optimized crystal structure of RbSn2HgSe6, as listed in the Alexandria database.

Cell: 6.7637 10.5344 10.5344 Å, 93.64 83.39 83.39°
Atoms (fractional coordinates):
Se1 0.2947 0.9844 0.7940
Se2 0.9862 0.4183 0.8622
Se3 0.0138 0.5817 0.1378
Se4 0.7053 0.0156 0.2060
Se5 0.4862 0.8622 0.4183
Se6 0.5056 0.5765 0.7109
Se7 0.5138 0.1378 0.5817
Se8 0.2053 0.2060 0.0156
Rb1 0.2500 0.8802 0.1198
Sn1 0.1642 0.3612 0.2125
Rb2 0.7500 0.1198 0.8802
Se9 0.4944 0.4235 0.2891
Hg1 0.2500 0.3118 0.6882
Hg2 0.7500 0.6882 0.3118
Se10 0.9944 0.2891 0.4235
Se11 0.0056 0.7109 0.5765
Sn2 0.8358 0.6388 0.7875
Sn3 0.6642 0.2125 0.3612
Sn4 0.3358 0.7875 0.6388
Se12 0.7947 0.7940 0.9844

Results
* SG: C2/c, No. 15
* total DFT energy (no corrections): -33.8 eV/f.u.
* formation energy without anion corrections: -8.27 kcal/mol of atoms
* total magnetic moment: 0.00 μB per formula unit